{
  "formula": "LuTeI",
  "functional": "GGA-PBE",
  "state": "optimized geometry",
  "lattice": [[3.781, 0.000, 0.000], [0.000, 3.781, 0.000], [0.000, 0.000, 14.559]],
  "species": ["Lu", "Lu", "Te", "Te", "I", "I"],
  "fractional_positions": [[0.000, 0.000, 0.000], [0.500, 0.500, 0.500], [0.000, 0.000, 0.606], [0.500, 0.500, 0.106], [0.000, 0.000, 0.357], [0.500, 0.500, 0.857]],
  "space_group": "I4mm (107)",
  "formation_energy_uncorrected_ev_per_atom": -1.008,
  "e_above_lowest_polymorph_mev_per_atom": 304,
  "magnetic_moment_mub_per_cell": 0.0
}



{
  "formula": "LuThI",
  "functional": "GGA-PBE",
  "state": "optimized geometry",
  "lattice": [[5.369, 0.000, 0.000], [-2.685, 4.650, 0.000], [0.000, 0.000, 3.679]],
  "species": ["Lu", "Th", "I"],
  "fractional_positions": [[0.000, 0.000, 0.000], [0.333, 0.667, 0.500], [0.667, 0.333, 0.000]],
  "space_group": "P-6m2 (187)",
  "formation_energy_uncorrected_ev_per_atom": -0.020,
  "magnetic_moment_mub_per_cell": 0.0
}



{
  "formula": "LuThI2",
  "functional": "GGA-PBE",
  "state": "optimized geometry",
  "lattice": [[3.810, 0.000, 0.000], [-1.905, 3.300, 0.000], [0.000, 0.000, 32.773]],
  "species": ["Lu", "Lu", "Lu", "Th", "Th", "Th", "I", "I", "I", "I", "I", "I"],
  "fractional_positions": [[0.000, 0.000, 0.000], [0.333, 0.667, 0.667], [0.667, 0.333, 0.333], [0.000, 0.000, 0.500], [0.333, 0.667, 0.167], [0.667, 0.333, 0.833], [0.000, 0.000, 0.094], [0.000, 0.000, 0.906], [0.333, 0.667, 0.573], [0.333, 0.667, 0.761], [0.667, 0.333, 0.239], [0.667, 0.333, 0.427]],
  "space_group": "R-3m (166)",
  "formation_energy_uncorrected_ev_per_atom": -0.509,
  "magnetic_moment_mub_per_cell": 0.0
}



{
  "formula": "Lu2ThI",
  "functional": "GGA-PBE",
  "state": "optimized geometry",
  "lattice": [[3.675, 0.000, 0.000], [0.000, 3.675, 0.000], [0.000, 0.000, 9.198]],
  "species": ["Lu", "Lu", "Th", "I"],
  "fractional_positions": [[0.000, 0.000, 0.248], [0.000, 0.000, 0.752], [0.500, 0.500, 0.000], [0.500, 0.500, 0.500]],
  "space_group": "P4/mmm (123)",
  "formation_energy_uncorrected_ev_per_atom": -0.253,
  "magnetic_moment_mub_per_cell": 0.0
}